No. 1
The following is a PBE calculation of an optimized crystal structure of Ac4PaIr5, from Alexandria.

Cell lengths 5.1683, 7.2198, 7.6987 Å; angles 112.42, 94.08, 90.18 degrees
Element x y z (fractional)
Ac (0.2221, 0.2657, 0.4243)
Ac (0.2428, 0.6638, 0.1909)
Ac (0.7572, 0.3362, 0.8091)
Ac (0.7779, 0.7343, 0.5757)
Pa (0.5000, 0.0000, 0.0000)
Ir (0.0000, 0.0000, 0.0000)
Ir (0.2836, 0.6316, 0.7880)
Ir (0.2993, 0.0063, 0.6693)
Ir (0.7007, 0.9937, 0.3307)
Ir (0.7164, 0.3684, 0.2120)

Computed properties:
As for the space group: P-1 (2). The calculated total energy comes out at -7.52 eV per atom. The calculated volume comes out at 264.7 Å³ per cell.



No. 2
The following is a PBE calculation of an optimized crystal structure of Ce4IrAu, from Alexandria.

Cell lengths 7.5325, 7.5325, 5.8336 Å; angles 102.31, 102.31, 109.53 degrees
Element x y z (fractional)
Ce (0.0677, 0.6745, 0.9151)
Ce (0.1872, 0.3846, 0.6525)
Ce (0.3255, 0.9323, 0.5849)
Ce (0.3846, 0.1872, 0.1525)
Ce (0.6154, 0.8128, 0.8475)
Ce (0.6745, 0.0677, 0.4151)
Ce (0.8128, 0.6154, 0.3475)
Ce (0.9323, 0.3255, 0.0849)
Ir (0.0020, 0.9980, 0.2500)
Ir (0.9980, 0.0020, 0.7500)
Au (0.3959, 0.6041, 0.2500)
Au (0.6041, 0.3959, 0.7500)

Computed properties:
As for the space group: C2/c (15). The calculated total energy comes out at -6.45 eV per atom. The calculated volume comes out at 289.8 Å³ per cell.



No. 3
The following is a PBE calculation of an optimized crystal structure of CsAlBiF6, from Alexandria.

Cell lengths 6.1299, 6.1299, 5.9959 Å; angles 90.39, 90.39, 123.87 degrees
Element x y z (fractional)
Cs (0.0000, 0.0000, 0.0000)
Al (0.3361, 0.6639, 0.5000)
Bi (0.6626, 0.3374, 0.5000)
F (0.0550, 0.3898, 0.3466)
F (0.0812, 0.6602, 0.6700)
F (0.3398, 0.9188, 0.3300)
F (0.3482, 0.4330, 0.6793)
F (0.5670, 0.6518, 0.3207)
F (0.6102, 0.9450, 0.6534)

Computed properties:
As for the space group: C2 (5). The calculation puts the raw formation energy at -2816 meV/atom. The calculated volume comes out at 187.1 Å³ per cell.



> Number 3 is which compound?

CsAlBiF6



> What is the formula in the first record?

Ac4PaIr5